DFT (PBE) results for a geometry-optimized Sr2PrPuO6 structure.

Summary:
**Total energy**: -8.23 eV per atom
**Raw formation energy**: -3.004 eV/atom
**Total magnetic moment**: 6.000 μB per cell

a b c (Å): 6.045 6.223 10.549
angles (deg): 90.00 124.77 90.00
Space group P2_1/c (No. 14)
Symmetry-distinct sites (fractional):
Sr 0.239 0.047 0.252 x4
Pr 0.500 0.000 0.000 x2
Pu 0.000 0.000 0.500 x2
O 0.122 0.216 0.936 x4
O 0.231 0.688 0.946 x4
O 0.345 0.048 0.735 x4

=====

DFT (PBE) results for a geometry-optimized Ac2NdEr structure.

Summary:
**Formation energy from the elements**: 0.11 eV per atom
**Total energy**: -4.28 eV per atom
**Energy relative to the lowest polymorph listed for this composition**: 68.2 meV/atom
**Total magnetic moment**: 0.000 μB per cell

a b c (Å): 8.525 8.525 8.525
angles (deg): 90.00 90.00 90.00
Space group Fm-3m (No. 225)
Symmetry-distinct sites (fractional):
Ac 0.250 0.250 0.250 x8
Nd 0.000 0.000 0.000 x4
Er 0.000 0.000 0.500 x4

=====

Please write out number 2 again, unchanged.
DFT (PBE) results for a geometry-optimized Ac2NdEr structure.

Summary:
**Formation energy from the elements**: 0.11 eV per atom
**Total energy**: -4.28 eV per atom
**Energy relative to the lowest polymorph listed for this composition**: 68.2 meV/atom
**Total magnetic moment**: 0.000 μB per cell

a b c (Å): 8.525 8.525 8.525
angles (deg): 90.00 90.00 90.00
Space group Fm-3m (No. 225)
Symmetry-distinct sites (fractional):
Ac 0.250 0.250 0.250 x8
Nd 0.000 0.000 0.000 x4
Er 0.000 0.000 0.500 x4